[1]
Entry from the Alexandria database: a geometry-optimized CaScAl2 structure (PBE-GGA).

a b c (Å): 3.335 3.335 8.328
angles (deg): 90.00 90.00 90.00
Space group P4mm (No. 99)
Unique sites:
Ca  0.000  0.000  0.000 [1 per cell]
Sc  0.500  0.500  0.340 [1 per cell]
Al  0.000  0.000  0.557 [1 per cell]
Al  0.500  0.500  0.729 [1 per cell]

Computed properties:
Electronic total energy: -4.0660 eV per atom
Total moment: 0.0 μB per cell
Polymorph energy (0 for the lowest one): 0.2048 eV/atom
Energy relative to the elements: -0.111 eV per atom

[2]
Entry from the Alexandria database: a geometry-optimized CdSi structure (PBE-GGA).

a b c (Å): 2.8851 2.8851 15.9945
angles (deg): 90.00 90.00 120.00
Space group R-3m (No. 166, hexagonal axes)
Unique sites:
Cd  0.0000  0.0000  0.0000 [3 per cell]
Si  0.0000  0.0000  0.5000 [3 per cell]

Computed properties:
Electronic total energy: -2.6960 eV per atom
Total moment: 0.0 μB per cell

[3]
Entry from the Alexandria database: a geometry-optimized Sm4UCo5 structure (PBE-GGA).

a b c (Å): 9.161 9.161 4.886
angles (deg): 90.00 90.00 90.00
Space group I4mm (No. 107)
Unique sites:
Sm  0.000  0.288  0.000 [8 per cell]
U  0.000  0.000  0.599 [2 per cell]
Co  0.000  0.000  0.113 [2 per cell]
Co  0.174  0.174  0.489 [8 per cell]

Computed properties:
Electronic total energy: -6.6152 eV per atom
Total moment: 0.0 μB per cell
Energy relative to the elements: -0.046 eV per atom